No. 1
# PaGaMoOs, relaxed, DFT PBE-GGA
data_PaGaMoOs
_chemical_formula_sum 'Pa1 Ga1 Mo1 Os1'
_cell_length_a 4.649
_cell_length_b 4.649
_cell_length_c 4.649
_cell_angle_alpha 60.00
_cell_angle_beta 60.00
_cell_angle_gamma 60.00
_symmetry_space_group_name_H-M 'P 1'
_symmetry_Int_Tables_number 1
loop_
_symmetry_equiv_pos_as_xyz
'x,y,z'
loop_
_atom_site_label
_atom_site_type_symbol
_atom_site_fract_x
_atom_site_fract_y
_atom_site_fract_z
_atom_site_occupancy
Mo1 Mo 0.000 0.000 0.000 1
Pa1 Pa 0.750 0.750 0.750 1
Os1 Os 0.500 0.500 0.500 1
Ga1 Ga 0.250 0.250 0.250 1
# - electronic total energy (eV/atom) = -8.70

***

No. 2
# SiBIr2, relaxed, DFT PBE-GGA
data_SiBIr2
_chemical_formula_sum 'Si2 B2 Ir4'
_cell_length_a 5.096
_cell_length_b 5.096
_cell_length_c 6.083
_cell_angle_alpha 65.24
_cell_angle_beta 65.24
_cell_angle_gamma 90.00
_symmetry_space_group_name_H-M 'P 1'
_symmetry_Int_Tables_number 1
loop_
_symmetry_equiv_pos_as_xyz
'x,y,z'
loop_
_atom_site_label
_atom_site_type_symbol
_atom_site_fract_x
_atom_site_fract_y
_atom_site_fract_z
_atom_site_occupancy
Si1 Si 0.000 0.000 0.000 1
Si2 Si 0.750 0.250 0.500 1
Ir1 Ir 0.576 0.125 0.250 1
Ir2 Ir 0.174 0.625 0.250 1
Ir3 Ir 0.375 0.424 0.750 1
Ir4 Ir 0.875 0.826 0.750 1
B1 B 0.500 0.500 0.000 1
B2 B 0.250 0.750 0.500 1
# - relative energy among the computed polymorphs (eV per atom) = 0.000
# - formation energy from raw total energies (eV per atom) = -0.04

***

No. 3
# TaCu2, relaxed, DFT PBE-GGA
data_TaCu2
_chemical_formula_sum 'Ta2 Cu4'
_cell_length_a 4.903
_cell_length_b 4.903
_cell_length_c 4.903
_cell_angle_alpha 60.00
_cell_angle_beta 60.00
_cell_angle_gamma 60.00
_symmetry_space_group_name_H-M 'P 1'
_symmetry_Int_Tables_number 1
loop_
_symmetry_equiv_pos_as_xyz
'x,y,z'
loop_
_atom_site_label
_atom_site_type_symbol
_atom_site_fract_x
_atom_site_fract_y
_atom_site_fract_z
_atom_site_occupancy
Ta1 Ta 0.000 0.000 0.000 1
Ta2 Ta 0.250 0.250 0.250 1
Cu1 Cu 0.625 0.625 0.125 1
Cu2 Cu 0.625 0.625 0.625 1
Cu3 Cu 0.125 0.625 0.625 1
Cu4 Cu 0.625 0.125 0.625 1
# - electronic total energy (eV/atom) = -6.55